Record 1
SrMgHg3 | GGA-PBE | relaxed

Cell lengths 5.3519, 5.3519, 5.3519 Å; angles 90.00, 90.00, 90.00 degrees
Fractional coordinates of all 5 atoms:
1 Sr 0.0000 0.0000 0.0000
2 Mg 0.5000 0.5000 0.5000
3 Hg 0.0000 0.5000 0.5000
4 Hg 0.5000 0.0000 0.5000
5 Hg 0.5000 0.5000 0.0000

**Magnetic moment**: 0.000 μB per atom
**SG**: Pm-3m (221)
**Energy relative to the elements**: -18.7 kJ/mol of atoms
**DFT total energy**: -1.03 eV/atom
**Density of states at the Fermi level**: 2.89 states/eV/f.u.

Record 2
Na3Sr4Pb2 | GGA-PBE | relaxed

Cell lengths 5.7419, 5.7419, 12.2522 Å; angles 90.01, 90.01, 59.98 degrees
Fractional coordinates of all 9 atoms:
1 Na 0.0000 0.0000 0.0000
2 Na 0.3334 0.3334 0.4634
3 Na 0.6666 0.6666 0.5366
4 Sr 0.0004 0.0004 0.3101
5 Sr 0.9996 0.9996 0.6899
6 Sr 0.3332 0.3332 0.8868
7 Sr 0.6668 0.6668 0.1132
8 Pb 0.3336 0.3336 0.1815
9 Pb 0.6664 0.6664 0.8185

**Magnetic moment**: 0.000 μB per atom
**SG**: C2/m (12)
**Energy relative to the elements**: -28.2 kJ/mol of atoms
**DFT total energy**: -2.30 eV/atom
**Density of states at the Fermi level**: 4.91 states/eV/f.u.

Record 3
KSiAu2 | GGA-PBE | relaxed

Cell lengths 2.8432, 4.1402, 7.7628 Å; angles 90.00, 99.04, 90.00 degrees
Fractional coordinates of all 4 atoms:
1 K 0.0000 0.0000 0.0000
2 Si 0.5000 0.0000 0.5000
3 Au 0.3598 0.5000 0.6883
4 Au 0.6402 0.5000 0.3117

**Magnetic moment**: 0.000 μB per atom
**SG**: P2/m (10)
**DFT total energy**: -3.22 eV/atom
**Formation energy from raw total energies**: 0.044 eV/atom
**Density of states at the Fermi level**: 1.17 states/eV/f.u.